a:
First-principles (PBEsol) data for a relaxed structure of ZnCr2Sb, as listed in the Alexandria database.

Results
* DOS at the Fermi energy: 2.24 states/eV per cell
* SG: F-43m (216)

Lattice parameters (Å, degrees): 4.4386 4.4386 4.4386 60.00 60.00 60.00
Element x y z (fractional)
1 Zn 0.2500 0.2500 0.2500
2 Cr 0.7500 0.7500 0.7500
3 Cr 0.0000 0.0000 0.0000
4 Sb 0.5000 0.5000 0.5000

***

b:
First-principles (PBEsol) data for a relaxed structure of ZnCr2Sb, as listed in the Alexandria database.

Results
* DOS at the Fermi energy: 2.78 states/eV per cell
* SG: P4/mmm (123)

Lattice parameters (Å, degrees): 3.2040 3.2036 5.7807 90.00 90.00 90.00
Element x y z (fractional)
1 Cr 0.0000 0.0000 0.2530
2 Cr 0.0000 0.0000 0.7470
3 Sb 0.5000 0.5000 0.0000
4 Zn 0.5000 0.5000 0.5000

***

Referenced to the most stable arrangement, the calculated values in eV/atom are a 0.011; b 0.000.

***

a:
First-principles (PBEsol) data for a relaxed structure of ScCrSi2, as listed in the Alexandria database.

Results
* DOS at the Fermi energy: 6.16 states/eV per cell
* SG: I-42d (122)

Lattice parameters (Å, degrees): 4.2881 4.2881 8.5351 104.55 104.55 90.00
Element x y z (fractional)
1 Si 0.0123 0.3750 0.2500
2 Si 0.6250 0.7623 0.7500
3 Si 0.1250 0.9877 0.7500
4 Si 0.2377 0.8750 0.2500
5 Sc 0.5000 0.5000 0.0000
6 Sc 0.7500 0.2500 0.5000
7 Cr 0.2500 0.7500 0.5000
8 Cr 0.0000 0.0000 0.0000

***

b:
First-principles (PBEsol) data for a relaxed structure of ScCrSi2, as listed in the Alexandria database.

Results
* DOS at the Fermi energy: 2.35 states/eV per cell
* SG: Amm2 (38)

Lattice parameters (Å, degrees): 3.3041 3.7578 4.9571 90.00 109.47 90.00
Element x y z (fractional)
1 Cr 0.1088 0.0000 0.2176
2 Sc 0.3968 0.5000 0.7935
3 Si 0.6661 0.5000 0.3322
4 Si 0.8207 0.0000 0.6413

***

c:
First-principles (PBEsol) data for a relaxed structure of ScCrSi2, as listed in the Alexandria database.

Results
* DOS at the Fermi energy: 3.15 states/eV per cell
* SG: P4/mmm (123)

Lattice parameters (Å, degrees): 3.8424 3.8600 3.8600 90.00 90.00 90.00
Element x y z (fractional)
1 Sc 0.5000 0.0000 0.0000
2 Si 0.0000 0.5000 0.0000
3 Si 0.0000 0.0000 0.5000
4 Cr 0.5000 0.5000 0.5000

***

d:
First-principles (PBEsol) data for a relaxed structure of ScCrSi2, as listed in the Alexandria database.

Results
* DOS at the Fermi energy: 2.95 states/eV per cell
* SG: P4/mmm (123)

Lattice parameters (Å, degrees): 2.9566 2.9559 6.4693 90.00 90.00 90.00
Element x y z (fractional)
1 Si 0.0000 0.0000 0.8051
2 Si 0.0000 0.0000 0.1949
3 Sc 0.5000 0.5000 0.5000
4 Cr 0.5000 0.5000 0.0000

***

Referenced to the most stable arrangement, the calculated values in eV/atom are a 0.571; b 0.015; c 0.125; d 0.000.

***

a:
First-principles (PBEsol) data for a relaxed structure of ScZn2Cr, as listed in the Alexandria database.

Results
* DOS at the Fermi energy: 2.80 states/eV per cell
* SG: I-4m2 (119)

Lattice parameters (Å, degrees): 3.9279 3.9279 4.8858 113.70 113.70 90.00
Element x y z (fractional)
1 Cr 0.5000 0.5000 0.0000
2 Zn 0.0000 0.0000 0.0000
3 Zn 0.7500 0.2500 0.5000
4 Sc 0.2500 0.7500 0.5000

***

b:
First-principles (PBEsol) data for a relaxed structure of ScZn2Cr, as listed in the Alexandria database.

Results
* DOS at the Fermi energy: 3.84 states/eV per cell
* SG: R-3m (166)

Lattice parameters (Å, degrees): 2.9600 2.9600 8.7932 80.31 80.31 60.00
Element x y z (fractional)
1 Cr 0.5000 0.5000 0.5000
2 Sc 0.0000 0.0000 0.0000
3 Zn 0.7565 0.7565 0.7306
4 Zn 0.2435 0.2435 0.2694

***

Referenced to the most stable arrangement, the calculated values in eV/atom are a 0.000; b 0.179.

***

a:
First-principles (PBEsol) data for a relaxed structure of Cr3Se, as listed in the Alexandria database.

Results
* DOS at the Fermi energy: 4.39 states/eV per cell
* SG: P4/mmm (123)

Lattice parameters (Å, degrees): 2.9249 2.9249 5.7054 90.00 90.00 90.00
Element x y z (fractional)
1 Se 0.5000 0.5000 0.5000
2 Cr 0.0000 0.0000 0.7595
3 Cr 0.5000 0.5000 0.0000
4 Cr 0.0000 0.0000 0.2405

***

b:
First-principles (PBEsol) data for a relaxed structure of Cr3Se, as listed in the Alexandria database.

Results
* DOS at the Fermi energy: 3.51 states/eV per cell
* SG: I4/mmm (139)

Lattice parameters (Å, degrees): 3.4319 3.4319 4.7392 111.23 111.23 90.00
Element x y z (fractional)
1 Se 0.0000 0.0000 0.0000
2 Cr 0.2500 0.7500 0.5000
3 Cr 0.7500 0.2500 0.5000
4 Cr 0.5000 0.5000 0.0000

***

Referenced to the most stable arrangement, the calculated values in eV/atom are a 0.000; b 0.077.